1.
A plane-wave DFT calculation with PBE-GGA was carried out for crystalline Ti5NbSn3 at its relaxed geometry.

Calculated values
- crystal system = tetragonal
- uncorrected energy (eV/atom) = -6.72
- polymorph energy (0 for the lowest one) (eV per atom) = 0.430
- M_tot (Bohr magnetons per cell) = 0.0
- density of states at the Fermi level (states/eV per atom) = 1.40

Unit cell a=9.0420 b=9.0420 c=9.0420 alpha=135.39 beta=135.39 gamma=64.92
Closest atoms and distances in Å follow each position.
Positions (direct):
Ti (0.0000, 0.0000, 0.0000)  4 Sn 2.66
Ti (0.0503, 0.5503, 0.8635)  1 Nb 2.53, 1 Sn 2.67
Ti (0.1868, 0.0503, 0.5000)  1 Nb 2.53, 1 Sn 2.67
Ti (0.3132, 0.8132, 0.8635)  1 Nb 2.53, 1 Sn 2.67
Ti (0.4497, 0.3132, 0.5000)  1 Nb 2.53, 1 Sn 2.67
Ti (0.5000, 0.5000, 0.0000)  4 Sn 2.66
Ti (0.5503, 0.6868, 0.5000)  1 Nb 2.53, 1 Sn 2.67
Ti (0.6868, 0.1868, 0.1365)  1 Nb 2.53, 1 Sn 2.67
Ti (0.8132, 0.9497, 0.5000)  1 Nb 2.53, 1 Sn 2.67
Ti (0.9497, 0.4497, 0.1365)  1 Nb 2.53, 1 Sn 2.67
Nb (0.2500, 0.7500, 0.5000)  4 Ti 2.53
Nb (0.7500, 0.2500, 0.5000)  4 Ti 2.53
Sn (0.1372, 0.3628, 0.5000)  4 Ti 2.66-2.67, 1 Sn 2.66
Sn (0.2500, 0.2500, 0.0000)  8 Ti 3.10, 4 Nb 3.43
Sn (0.3628, 0.8628, 0.2256)  4 Ti 2.66-2.67, 1 Sn 2.66
Sn (0.6372, 0.1372, 0.7744)  4 Ti 2.66-2.67, 1 Sn 2.66
Sn (0.7500, 0.7500, 0.0000)  8 Ti 3.10, 4 Nb 3.43
Sn (0.8628, 0.6372, 0.5000)  4 Ti 2.66-2.67, 1 Sn 2.66

---

2.
A plane-wave DFT calculation with PBE-GGA was carried out for crystalline MnCuTeS at its relaxed geometry.

Calculated values
- crystal system = trigonal
- uncorrected energy (eV/atom) = -5.39
- uncorrected formation energy (eV per atom) = -0.253
- M_tot (Bohr magnetons per cell) = 4.4
- density of states at the Fermi level (states/eV per atom) = 0.65

Unit cell a=7.0593 b=7.0593 c=7.0593 alpha=33.13 beta=33.13 gamma=33.13
Closest atoms and distances in Å follow each position.
Positions (direct):
Mn (0.0000, 0.0000, 0.0000)  3 S 2.41, 1 Te 2.69
Cu (0.4787, 0.4787, 0.4787)  1 S 2.26
Te (0.8655, 0.8655, 0.8655)  3 Cu 2.56, 1 Mn 2.69
S (0.3655, 0.3655, 0.3655)  1 Cu 2.26, 3 Mn 2.41

---

3.
A plane-wave DFT calculation with PBE-GGA was carried out for crystalline Ce2HfUAs4 at its relaxed geometry.

Calculated values
- crystal system = monoclinic
- uncorrected energy (eV/atom) = -7.61
- M_tot (Bohr magnetons per cell) = 3.8
- density of states at the Fermi level (states/eV per atom) = 1.96

Unit cell a=7.0728 b=4.0602 c=7.0814 alpha=90.00 beta=109.02 gamma=90.00
Closest atoms and distances in Å follow each position.
Positions (direct):
Ce (0.0000, 0.0000, 0.0000)  6 As 2.92
Ce (0.5000, 0.5000, 0.0000)  6 As 2.99
Hf (0.0000, 0.5000, 0.5000)  6 As 2.77-2.79
U (0.5000, 0.0000, 0.5000)  6 As 2.85-2.86
As (0.2353, 0.0000, 0.7297)  2 Hf 2.79, 1 U 2.85, 3 Ce 2.92-2.99
As (0.2456, 0.5000, 0.2649)  1 Hf 2.77, 2 U 2.86, 3 Ce 2.92-2.99
As (0.7544, 0.5000, 0.7351)  1 Hf 2.77, 2 U 2.86, 3 Ce 2.92-2.99
As (0.7647, 0.0000, 0.2703)  2 Hf 2.79, 1 U 2.85, 3 Ce 2.92-2.99

---

4.
A plane-wave DFT calculation with PBE-GGA was carried out for crystalline ZrCo3 at its relaxed geometry.

Calculated values
- crystal system = hexagonal
- uncorrected energy (eV/atom) = -7.16
- M_tot (Bohr magnetons per cell) = 4.4
- density of states at the Fermi level (states/eV per atom) = 1.27

Unit cell a=2.7292 b=2.7292 c=8.5161 alpha=90.00 beta=90.00 gamma=120.00
Closest atoms and distances in Å follow each position.
Positions (direct):
Zr (0.0000, 0.0000, 0.0000)  6 Zr 2.73, 6 Co 2.86
Co (0.0000, 0.0000, 0.5000)  12 Co 2.44-2.73
Co (0.6667, 0.3333, 0.2809)  9 Co 2.44-2.73
Co (0.6667, 0.3333, 0.7191)  9 Co 2.44-2.73

---

5.
A plane-wave DFT calculation with PBE-GGA was carried out for crystalline Cs12P3I5 at its relaxed geometry.

Calculated values
- crystal system = cubic
- uncorrected energy (eV/atom) = -2.43
- uncorrected formation energy (eV per atom) = -0.716
- M_tot (Bohr magnetons per cell) = 8.3
- density of states at the Fermi level (states/eV per atom) = 0.83

Unit cell a=18.8679 b=18.8679 c=18.8679 alpha=109.47 beta=109.47 gamma=109.47
Closest atoms and distances in Å follow each position.
Positions (direct):
Cs (0.0667, 0.2348, 0.1412)  2 I 3.64-3.81, 2 P 3.77-4.06, 1 Cs 3.88
Cs (0.0667, 0.3319, 0.9255)  2 I 3.64-3.81, 2 P 3.77-4.06, 1 Cs 3.88
Cs (0.0745, 0.6412, 0.4064)  2 I 3.64-3.81, 2 P 3.77-4.06, 1 Cs 3.88
Cs (0.0745, 0.9333, 0.6681)  2 I 3.64-3.81, 2 P 3.77-4.06, 1 Cs 3.88
Cs (0.0936, 0.7348, 0.6681)  2 I 3.64-3.81, 2 P 3.77-4.06, 1 Cs 3.88
Cs (0.0936, 0.8588, 0.4255)  2 I 3.64-3.81, 2 P 3.77-4.06, 1 Cs 3.88
Cs (0.1412, 0.0667, 0.2348)  2 I 3.64-3.81, 2 P 3.77-4.06, 1 Cs 3.88
Cs (0.1412, 0.5745, 0.9064)  2 I 3.64-3.81, 2 P 3.77-4.06, 1 Cs 3.88
Cs (0.1681, 0.2348, 0.5936)  2 I 3.64-3.81, 2 P 3.77-4.06, 1 Cs 3.88
Cs (0.1681, 0.4333, 0.5745)  2 I 3.64-3.81, 2 P 3.77-4.06, 1 Cs 3.88
Cs (0.2348, 0.1412, 0.0667)  2 I 3.64-3.81, 2 P 3.77-4.06, 1 Cs 3.88
Cs (0.2348, 0.5936, 0.1681)  2 I 3.64-3.81, 2 P 3.77-4.06, 1 Cs 3.88
Cs (0.2652, 0.3319, 0.9064)  2 I 3.64-3.81, 2 P 3.77-4.06, 1 Cs 3.88
Cs (0.2652, 0.4333, 0.3588)  2 I 3.64-3.81, 2 P 3.77-4.06, 1 Cs 3.88
Cs (0.3319, 0.9064, 0.2652)  2 I 3.64-3.81, 2 P 3.77-4.06, 1 Cs 3.88
Cs (0.3319, 0.9255, 0.0667)  2 I 3.64-3.81, 2 P 3.77-4.06, 1 Cs 3.88
Cs (0.3588, 0.2652, 0.4333)  2 I 3.64-3.81, 2 P 3.77-4.06, 1 Cs 3.88
Cs (0.3588, 0.5936, 0.9255)  2 I 3.64-3.81, 2 P 3.77-4.06, 1 Cs 3.88
Cs (0.4064, 0.0745, 0.6412)  2 I 3.64-3.81, 2 P 3.77-4.06, 1 Cs 3.88
Cs (0.4064, 0.8319, 0.7652)  2 I 3.64-3.81, 2 P 3.77-4.06, 1 Cs 3.88
Cs (0.4255, 0.0936, 0.8588)  2 I 3.64-3.81, 2 P 3.77-4.06, 1 Cs 3.88
Cs (0.4255, 0.8319, 0.5667)  2 I 3.64-3.81, 2 P 3.77-4.06, 1 Cs 3.88
Cs (0.4333, 0.3588, 0.2652)  2 I 3.64-3.81, 2 P 3.77-4.06, 1 Cs 3.88
Cs (0.4333, 0.5745, 0.1681)  2 I 3.64-3.81, 2 P 3.77-4.06, 1 Cs 3.88
Cs (0.5667, 0.4255, 0.8319)  2 I 3.64-3.81, 2 P 3.77-4.06, 1 Cs 3.88
Cs (0.5667, 0.6412, 0.7348)  2 I 3.64-3.81, 2 P 3.77-4.06, 1 Cs 3.88
Cs (0.5745, 0.1681, 0.4333)  2 I 3.64-3.81, 2 P 3.77-4.06, 1 Cs 3.88
Cs (0.5745, 0.9064, 0.1412)  2 I 3.64-3.81, 2 P 3.77-4.06, 1 Cs 3.88
Cs (0.5936, 0.1681, 0.2348)  2 I 3.64-3.81, 2 P 3.77-4.06, 1 Cs 3.88
Cs (0.5936, 0.9255, 0.3588)  2 I 3.64-3.81, 2 P 3.77-4.06, 1 Cs 3.88
Cs (0.6412, 0.4064, 0.0745)  2 I 3.64-3.81, 2 P 3.77-4.06, 1 Cs 3.88
Cs (0.6412, 0.7348, 0.5667)  2 I 3.64-3.81, 2 P 3.77-4.06, 1 Cs 3.88
Cs (0.6681, 0.0745, 0.9333)  2 I 3.64-3.81, 2 P 3.77-4.06, 1 Cs 3.88
Cs (0.6681, 0.0936, 0.7348)  2 I 3.64-3.81, 2 P 3.77-4.06, 1 Cs 3.88
Cs (0.7348, 0.5667, 0.6412)  2 I 3.64-3.81, 2 P 3.77-4.06, 1 Cs 3.88
Cs (0.7348, 0.6681, 0.0936)  2 I 3.64-3.81, 2 P 3.77-4.06, 1 Cs 3.88
Cs (0.7652, 0.4064, 0.8319)  2 I 3.64-3.81, 2 P 3.77-4.06, 1 Cs 3.88
Cs (0.7652, 0.8588, 0.9333)  2 I 3.64-3.81, 2 P 3.77-4.06, 1 Cs 3.88
Cs (0.8319, 0.5667, 0.4255)  2 I 3.64-3.81, 2 P 3.77-4.06, 1 Cs 3.88
Cs (0.8319, 0.7652, 0.4064)  2 I 3.64-3.81, 2 P 3.77-4.06, 1 Cs 3.88
Cs (0.8588, 0.4255, 0.0936)  2 I 3.64-3.81, 2 P 3.77-4.06, 1 Cs 3.88
Cs (0.8588, 0.9333, 0.7652)  2 I 3.64-3.81, 2 P 3.77-4.06, 1 Cs 3.88
Cs (0.9064, 0.1412, 0.5745)  2 I 3.64-3.81, 2 P 3.77-4.06, 1 Cs 3.88
Cs (0.9064, 0.2652, 0.3319)  2 I 3.64-3.81, 2 P 3.77-4.06, 1 Cs 3.88
Cs (0.9255, 0.0667, 0.3319)  2 I 3.64-3.81, 2 P 3.77-4.06, 1 Cs 3.88
Cs (0.9255, 0.3588, 0.5936)  2 I 3.64-3.81, 2 P 3.77-4.06, 1 Cs 3.88
Cs (0.9333, 0.6681, 0.0745)  2 I 3.64-3.81, 2 P 3.77-4.06, 1 Cs 3.88
Cs (0.9333, 0.7652, 0.8588)  2 I 3.64-3.81, 2 P 3.77-4.06, 1 Cs 3.88
P (0.1250, 0.2500, 0.3750)  8 Cs 3.77-4.06
P (0.1250, 0.3750, 0.7500)  8 Cs 3.77-4.06
P (0.2500, 0.3750, 0.1250)  8 Cs 3.77-4.06
P (0.2500, 0.8750, 0.6250)  8 Cs 3.77-4.06
P (0.3750, 0.1250, 0.2500)  8 Cs 3.77-4.06
P (0.3750, 0.7500, 0.1250)  8 Cs 3.77-4.06
P (0.6250, 0.2500, 0.8750)  8 Cs 3.77-4.06
P (0.6250, 0.8750, 0.7500)  8 Cs 3.77-4.06
P (0.7500, 0.1250, 0.3750)  8 Cs 3.77-4.06
P (0.7500, 0.6250, 0.8750)  8 Cs 3.77-4.06
P (0.8750, 0.6250, 0.2500)  8 Cs 3.77-4.06
P (0.8750, 0.7500, 0.6250)  8 Cs 3.77-4.06
I (0.0000, 0.0000, 0.0000)  6 Cs 3.81
I (0.0000, 0.0000, 0.5000)  6 Cs 3.81
I (0.0000, 0.5000, 0.0000)  6 Cs 3.81
I (0.0000, 0.5000, 0.5000)  6 Cs 3.81
I (0.1250, 0.7500, 0.8750)  4 Cs 3.64
I (0.1250, 0.8750, 0.2500)  4 Cs 3.64
I (0.2500, 0.1250, 0.8750)  4 Cs 3.64
I (0.2500, 0.6250, 0.3750)  4 Cs 3.64
I (0.3750, 0.2500, 0.6250)  4 Cs 3.64
I (0.3750, 0.6250, 0.7500)  4 Cs 3.64
I (0.5000, 0.0000, 0.0000)  6 Cs 3.81
I (0.5000, 0.0000, 0.5000)  6 Cs 3.81
I (0.5000, 0.5000, 0.0000)  6 Cs 3.81
I (0.5000, 0.5000, 0.5000)  6 Cs 3.81
I (0.6250, 0.3750, 0.2500)  4 Cs 3.64
I (0.6250, 0.7500, 0.3750)  4 Cs 3.64
I (0.7500, 0.3750, 0.6250)  4 Cs 3.64
I (0.7500, 0.8750, 0.1250)  4 Cs 3.64
I (0.8750, 0.1250, 0.7500)  4 Cs 3.64
I (0.8750, 0.2500, 0.1250)  4 Cs 3.64

---

6.
A plane-wave DFT calculation with PBE-GGA was carried out for crystalline Nb4PdBr2 at its relaxed geometry.

Calculated values
- crystal system = tetragonal
- uncorrected energy (eV/atom) = -5.85
- uncorrected formation energy (eV per atom) = 1.121
- M_tot (Bohr magnetons per cell) = 0.0
- density of states at the Fermi level (states/eV per atom) = 1.12

Unit cell a=7.5254 b=7.5254 c=7.5254 alpha=142.33 beta=142.33 gamma=54.33
Closest atoms and distances in Å follow each position.
Positions (direct):
Nb (0.0000, 0.5000, 0.5000)  2 Pd 2.43
Nb (0.2011, 0.2011, 0.0000)  1 Br 2.54, 1 Pd 2.69
Nb (0.5000, 0.0000, 0.5000)  2 Pd 2.43
Nb (0.7989, 0.7989, 0.0000)  1 Br 2.54, 1 Pd 2.69
Pd (0.0000, 0.0000, 0.0000)  6 Nb 2.43-2.69
Br (0.3912, 0.3912, 0.0000)  5 Nb 2.54-2.83
Br (0.6088, 0.6088, 0.0000)  5 Nb 2.54-2.83

---

7.
A plane-wave DFT calculation with PBE-GGA was carried out for crystalline La5Y8Mg at its relaxed geometry.

Calculated values
- crystal system = monoclinic
- uncorrected energy (eV/atom) = -5.35
- M_tot (Bohr magnetons per cell) = 0.0
- density of states at the Fermi level (states/eV per atom) = 1.35

Unit cell a=8.5460 b=8.5460 c=9.7384 alpha=124.64 beta=124.64 gamma=72.73
Closest atoms and distances in Å follow each position.
Positions (direct):
La (0.0000, 0.0000, 0.0000)  8 Y 3.15-3.41
La (0.3183, 0.4757, 0.1118)  8 Y 3.41-3.67, 2 La 3.65-3.66
La (0.3647, 0.2056, 0.6814)  8 Y 3.41-3.66, 2 La 3.65-3.66
La (0.5243, 0.6817, 0.8882)  8 Y 3.41-3.67, 2 La 3.65-3.66
La (0.7944, 0.6353, 0.3186)  8 Y 3.41-3.66, 2 La 3.65-3.66
Y (0.0264, 0.8333, 0.2577)  5 La 3.41-3.67, 4 Y 3.63-3.75
Y (0.0582, 0.5726, 0.7336)  3 La 3.15-3.50, 1 Mg 3.18
Y (0.1667, 0.9736, 0.7423)  5 La 3.41-3.67, 4 Y 3.63-3.75
Y (0.2313, 0.4240, 0.3978)  5 La 3.41-3.66, 4 Y 3.62-3.76
Y (0.4274, 0.9418, 0.2664)  3 La 3.15-3.50, 1 Mg 3.18
Y (0.5760, 0.7687, 0.6022)  5 La 3.41-3.66, 4 Y 3.62-3.76
Y (0.6740, 0.1592, 0.1015)  3 La 3.15-3.51, 1 Mg 3.18
Y (0.8408, 0.3260, 0.8985)  3 La 3.15-3.51, 1 Mg 3.18
Mg (0.7506, 0.2494, 0.5000)  4 Y 3.18

---

8.
A plane-wave DFT calculation with PBE-GGA was carried out for crystalline ScCo3Ir at its relaxed geometry.

Calculated values
- crystal system = cubic
- uncorrected energy (eV/atom) = -5.87
- polymorph energy (0 for the lowest one) (eV per atom) = 0.627
- M_tot (Bohr magnetons per cell) = 4.3
- density of states at the Fermi level (states/eV per atom) = 1.10

Unit cell a=4.2533 b=4.2533 c=4.2533 alpha=90.00 beta=90.00 gamma=90.00
Closest atoms and distances in Å follow each position.
Positions (direct):
Sc (0.0000, 0.0000, 0.0000)  6 Co 2.13
Co (0.0000, 0.0000, 0.5000)  2 Sc 2.13
Co (0.0000, 0.5000, 0.0000)  2 Sc 2.13
Co (0.5000, 0.0000, 0.0000)  2 Sc 2.13
Ir (0.5000, 0.5000, 0.5000)  12 Co 3.01

---

Per-record theoretical density, kg/m3: 6362, 4938, 8607, 8102, 2983, 6700, 4936, 8934